{
  "formula": "CaZn2PN4",
  "functional": "PBE",
  "state": "relaxed",
  "lattice": [[7.1260, 0.0000, 0.0000], [0.0000, 5.2665, 0.0000], [0.0000, 0.0000, 5.1690]],
  "species": ["Ca", "Ca", "Zn", "Zn", "Zn", "Zn", "P", "P", "N", "N", "N", "N", "N", "N", "N", "N"],
  "frac_coords": [[0.0000, 0.2012, 0.0000], [0.5000, 0.7988, 0.5000], [0.2482, 0.3123, 0.5196], [0.2518, 0.6877, 0.0196], [0.7482, 0.6877, 0.0196], [0.7518, 0.3123, 0.5196], [0.0000, 0.8059, 0.5304], [0.5000, 0.1941, 0.0304], [0.0000, 0.1172, 0.4706], [0.0000, 0.7590, 0.8476], [0.1894, 0.6768, 0.4058], [0.3106, 0.3232, 0.9058], [0.5000, 0.2410, 0.3476], [0.5000, 0.8828, 0.9706], [0.6894, 0.3232, 0.9058], [0.8106, 0.6768, 0.4058]],
  "n_ef_per_ev_atom": 0.638,
  "formation_energy_uncorrected_ev_per_atom": -0.4605,
  "magnetic_moment_mub_per_cell": 0.72
}

{
  "formula": "Sr2NdPaBi4",
  "functional": "PBE",
  "state": "relaxed",
  "lattice": [[8.0534, 0.0000, 0.0000], [0.0000, 4.6770, 0.0000], [-2.6764, 0.0000, 7.7545]],
  "species": ["Sr", "Sr", "Nd", "Pa", "Bi", "Bi", "Bi", "Bi"],
  "frac_coords": [[0.0000, 0.0000, 0.0000], [0.5000, 0.5000, 0.0000], [0.0000, 0.5000, 0.5000], [0.5000, 0.0000, 0.5000], [0.2546, 0.0000, 0.7279], [0.2685, 0.5000, 0.2766], [0.7315, 0.5000, 0.7234], [0.7454, 0.0000, 0.2721]],
  "n_ef_per_ev_atom": 0.036,
  "formation_energy_ev_per_fu": -5.69,
  "magnetic_moment_mub_per_cell": 0.15
}

{
  "formula": "NpTl2HgS4",
  "functional": "PBE",
  "state": "relaxed",
  "lattice": [[7.0998, 0.0000, 0.0000], [0.0000, 4.0071, 0.0000], [-2.7149, 0.0000, 7.4317]],
  "species": ["Np", "Tl", "Tl", "Hg", "S", "S", "S", "S"],
  "frac_coords": [[0.0000, 0.0000, 0.0000], [0.0000, 0.5000, 0.5000], [0.5000, 0.0000, 0.5000], [0.5000, 0.5000, 0.0000], [0.2041, 0.5000, 0.2103], [0.2598, 0.0000, 0.8123], [0.7402, 0.0000, 0.1877], [0.7959, 0.5000, 0.7897]],
  "n_ef_per_ev_atom": 1.178,
  "formation_energy_uncorrected_ev_per_atom": -0.6166,
  "magnetic_moment_mub_per_cell": 3.00
}